Entry 1:
LiLuZrCu, relaxed, DFT PBE-GGA; energy of formation from the pure elements = 0.07 eV/atom
1.0
-2.291 3.854 1.687
-4.265 -0.489 2.126
-0.410 0.665 4.726
Lu Cu Zr Li
1 1 1 1
direct
0.250 0.250 0.250
0.500 0.500 0.500
0.750 0.750 0.750
0.000 0.000 0.000

***

Entry 2:
Li2Mg8Cu, relaxed, DFT PBE-GGA; energy of formation from the pure elements = -0.01 eV/atom; E above lowest polymorph = 0.0 kJ/mol of formula units
1.0
4.705 0.000 0.000
0.000 6.628 0.289
-2.352 -2.533 7.127
Li Mg Cu
2 8 1
direct
0.789 0.351 0.578
0.211 0.649 0.422
0.405 0.570 0.809
0.666 0.915 0.331
0.845 0.805 0.689
0.968 0.251 0.937
0.155 0.195 0.311
0.334 0.085 0.669
0.595 0.430 0.191
0.032 0.749 0.063
0.500 0.000 0.000

***

Entry 3:
Li2MgCu, relaxed, DFT PBE-GGA; energy of formation from the pure elements = 0.04 eV/atom
1.0
9.296 -0.033 -0.019
8.845 2.861 -0.019
8.845 1.379 2.507
Cu Li Mg
1 2 1
direct
0.750 0.750 0.750
0.011 0.011 0.011
0.489 0.489 0.489
0.250 0.250 0.250

***

Summary of V in Å³ per cell
77.7; 225.7; 67.9
(order as listed above)